The following is a GGA-PBE calculation of a relaxed BaCaCuTc2 crystal, from Alexandria.

a = 4.8834 Å, b = 5.4651 Å, c = 4.8834 Å
α = 90.00°, β = 90.00°, γ = 90.00°
Site moments in Bohr magnetons follow the coordinates.
Positions (direct):
Ca 0.5000 0.5000 0.5000  -0.06
Ba 0.0000 0.5000 0.0000  -0.07
Tc 0.0000 0.0000 0.5000  2.01
Tc 0.5000 0.0000 0.0000  1.53
Cu 0.0000 0.0000 0.0000  0.17

E in eV per atom: -4.5334
Energy relative to the elements in eV per atom: 1.22



The following is a GGA-PBE calculation of a relaxed BaCaTlCu crystal, from Alexandria.

a = 5.6200 Å, b = 5.6200 Å, c = 5.6200 Å
α = 60.00°, β = 60.00°, γ = 60.00°
Positions (direct):
Cu 0.0000 0.0000 0.0000
Ba 0.7500 0.7500 0.7500
Ca 0.2500 0.2500 0.2500
Tl 0.5000 0.5000 0.5000

E in eV per atom: -2.7089
Energy relative to the elements in eV per atom: -0.11



The following is a GGA-PBE calculation of a relaxed Ba2CaTlCu crystal, from Alexandria.

a = 6.1486 Å, b = 6.1486 Å, c = 5.6305 Å
α = 90.00°, β = 90.00°, γ = 90.00°
Positions (direct):
Cu 0.0000 0.0000 0.0000
Tl 0.5000 0.5000 0.5000
Ba 0.5000 0.0000 0.0000
Ba 0.0000 0.5000 0.0000
Ca 0.0000 0.0000 0.5000

E in eV per atom: -2.4773
Energy relative to the elements in eV per atom: -0.02



The following is a GGA-PBE calculation of a relaxed BaCa2TlCu crystal, from Alexandria.

a = 5.7002 Å, b = 5.7002 Å, c = 5.2646 Å
α = 90.00°, β = 90.00°, γ = 90.00°
Positions (direct):
Cu 0.0000 0.0000 0.0000
Ca 0.5000 0.0000 0.0000
Ca 0.0000 0.5000 0.0000
Ba 0.5000 0.5000 0.5000
Tl 0.0000 0.0000 0.5000

E in eV per atom: -2.5371
Energy relative to the elements in eV per atom: -0.06



The following is a GGA-PBE calculation of a relaxed BaCa2TlCu crystal, from Alexandria.

a = 5.6113 Å, b = 5.6113 Å, c = 6.0842 Å
α = 90.00°, β = 90.00°, γ = 90.00°
Positions (direct):
Cu 0.0000 0.0000 0.0000
Ca 0.0000 0.5000 0.0000
Ca 0.5000 0.0000 0.0000
Tl 0.5000 0.5000 0.5000
Ba 0.0000 0.0000 0.5000

E in eV per atom: -2.5038
Energy relative to the elements in eV per atom: -0.03



The following is a GGA-PBE calculation of a relaxed BaCaDy2 crystal, from Alexandria.

a = 3.6634 Å, b = 3.6634 Å, c = 13.4472 Å
α = 82.17°, β = 82.17°, γ = 60.00°
Site moments in Bohr magnetons follow the coordinates.
Positions (direct):
Dy 0.0903 0.0903 0.7290  0.26
Dy 0.9097 0.9097 0.2710  0.26
Ba 0.0000 0.0000 0.0000  0.09
Ca 0.5000 0.5000 0.5000  0.04

E in eV per atom: -2.9555
Energy relative to the elements in eV per atom: 0.33



The following is a GGA-PBE calculation of a relaxed BaCa2Dy crystal, from Alexandria.

a = 3.8808 Å, b = 3.8808 Å, c = 13.1012 Å
α = 81.48°, β = 81.48°, γ = 60.00°
Site moments in Bohr magnetons follow the coordinates.
Positions (direct):
Ba 0.4997 0.4997 0.5008  0.00
Ca 0.2564 0.2564 0.2308  0.02
Ca 0.0770 0.0770 0.7689  0.01
Dy 0.6669 0.6669 0.9994  0.12

E in eV per atom: -2.4860
Energy relative to the elements in eV per atom: 0.15



The following is a GGA-PBE calculation of a relaxed BaCa2Dy crystal, from Alexandria.

a = 4.2042 Å, b = 4.2042 Å, c = 9.7115 Å
α = 90.00°, β = 90.00°, γ = 90.00°
Positions (direct):
Ca 0.0000 0.0000 0.2109
Ca 0.0000 0.0000 0.7891
Ba 0.5000 0.5000 0.5000
Dy 0.5000 0.5000 0.0000

E in eV per atom: -2.5152
Energy relative to the elements in eV per atom: 0.12



- Look up the E of the fourth one.
  -2.5371 eV per atom



- Which value of E does entry 5 give?
  -2.5038 eV per atom



- What is the E in the second record?
  -2.7089 eV per atom